Entry i
## YReBr2 (PBE)

Data for a relaxed structure of YReBr2.

Summary:
- calculated volume (Å³ per cell) = 119
- spin magnetization (μB per formula unit) = 0.841

Cell lengths 7.551, 7.551, 4.671 Å; angles 89.52, 89.52, 26.57 degrees
Site moments in Bohr magnetons follow the coordinates.
Atoms (fractional coordinates):
Br (0.898, 0.898, 0.013)  0.03
Br (0.602, 0.602, 0.487)  0.03
Y (0.250, 0.250, 0.250)  -0.05
Re (0.750, 0.750, 0.750)  0.71

***

Entry ii
## YReBr2 (PBE)

Data for a relaxed structure of YReBr2.

Summary:
- calculated volume (Å³ per cell) = 88
- spin magnetization (μB per formula unit) = 0.166

Cell lengths 9.488, 9.488, 9.488 Å; angles 20.02, 20.02, 20.02 degrees
Site moments in Bohr magnetons follow the coordinates.
Atoms (fractional coordinates):
Y (0.500, 0.500, 0.500)  -0.01
Re (0.000, 0.000, 0.000)  0.16
Br (0.089, 0.089, 0.089)  0.00
Br (0.911, 0.911, 0.911)  0.00

***

Entry iii
## YReBr2 (PBE)

Data for a relaxed structure of YReBr2.

Summary:
- calculated volume (Å³ per cell) = 110
- spin magnetization (μB per formula unit) = 0.000

Cell lengths 3.407, 4.258, 7.853 Å; angles 75.73, 90.00, 90.00 degrees
Atoms (fractional coordinates):
Br (0.000, 0.124, 0.908)
Br (0.500, 0.384, 0.319)
Re (0.000, 0.278, 0.565)
Y (0.500, 0.714, 0.708)

***

Entry iv
## YReBr2 (PBE)

Data for a relaxed structure of YReBr2.

Summary:
- calculated volume (Å³ per cell) = 98
- spin magnetization (μB per formula unit) = 4.002

Cell lengths 5.172, 5.172, 5.172 Å; angles 60.00, 60.00, 60.00 degrees
Site moments in Bohr magnetons follow the coordinates.
Atoms (fractional coordinates):
Re (0.500, 0.500, 0.500)  2.77
Br (0.000, 0.000, 0.000)  0.16
Br (0.250, 0.250, 0.250)  0.21
Y (0.750, 0.750, 0.750)  0.08

***

Which structure is most stable? entry iii, by 40 meV per atom over the runner-up.

***

Entry i
## YReBr2 (PBE)

Data for a relaxed structure of YReBr2.

Summary:
- calculated volume (Å³ per cell) = 98
- spin magnetization (μB per formula unit) = 0.000

Cell lengths 3.293, 3.294, 9.020 Å; angles 90.00, 90.00, 90.00 degrees
Atoms (fractional coordinates):
Y (0.500, 0.500, 0.725)
Re (0.000, 0.000, 0.496)
Br (0.500, 0.500, 0.340)
Br (0.000, 0.000, 0.939)

***

Entry ii
## YReBr2 (PBE)

Data for a relaxed structure of YReBr2.

Summary:
- calculated volume (Å³ per cell) = 88
- spin magnetization (μB per formula unit) = 1.998

Cell lengths 5.993, 5.993, 5.993 Å; angles 140.10, 140.10, 57.70 degrees
Site moments in Bohr magnetons follow the coordinates.
Atoms (fractional coordinates):
Y (0.750, 0.250, 0.500)  -0.10
Br (0.000, 0.000, 0.000)  0.02
Br (0.250, 0.750, 0.500)  0.03
Re (0.500, 0.500, 0.000)  1.77

***

Entry iii
## YReBr2 (PBE)

Data for a relaxed structure of YReBr2.

Summary:
- calculated volume (Å³ per cell) = 187
- spin magnetization (μB per formula unit) = 0.000

Cell lengths 4.620, 4.620, 9.352 Å; angles 75.70, 75.70, 90.00 degrees
Atoms (fractional coordinates):
Br (0.875, 0.905, 0.750)
Br (0.655, 0.125, 0.250)
Br (0.095, 0.625, 0.250)
Br (0.375, 0.345, 0.750)
Re (0.000, 0.000, 0.000)
Re (0.750, 0.250, 0.500)
Y (0.250, 0.750, 0.500)
Y (0.500, 0.500, 0.000)

***

Which structure is most stable? entry i, by 356 meV per atom over the runner-up.

***

Entry i
## YReBr2 (PBE)

Data for a relaxed structure of YReBr2.

Summary:
- calculated volume (Å³ per cell) = 91
- spin magnetization (μB per formula unit) = 0.000

Cell lengths 4.278, 4.608, 4.619 Å; angles 84.98, 90.00, 90.00 degrees
Atoms (fractional coordinates):
Br (0.000, 0.466, 0.466)
Br (0.000, 0.034, 0.034)
Y (0.500, 0.750, 0.750)
Re (0.500, 0.250, 0.250)

***

Entry ii
## YReBr2 (PBE)

Data for a relaxed structure of YReBr2.

Summary:
- calculated volume (Å³ per cell) = 106
- spin magnetization (μB per formula unit) = 3.820

Cell lengths 3.395, 3.395, 10.244 Å; angles 90.00, 90.00, 116.09 degrees
Site moments in Bohr magnetons follow the coordinates.
Atoms (fractional coordinates):
Y (0.500, 0.500, 0.750)  0.01
Br (0.000, 0.000, 0.963)  0.03
Br (0.000, 0.000, 0.537)  0.03
Re (0.500, 0.500, 0.250)  3.05

***

Which structure is most stable? entry i, by 329 meV per atom over the runner-up.

***

Entry i
## YReBr2 (PBE)

Data for a relaxed structure of YReBr2.

Summary:
- calculated volume (Å³ per cell) = 112
- spin magnetization (μB per formula unit) = 0.000

Cell lengths 7.191, 7.191, 7.191 Å; angles 143.17, 149.81, 48.34 degrees
Atoms (fractional coordinates):
Br (0.391, 0.391, 0.000)
Br (0.109, 0.109, 0.000)
Re (0.750, 0.250, 0.500)
Y (0.250, 0.750, 0.500)

***

Entry ii
## YReBr2 (PBE)

Data for a relaxed structure of YReBr2.

Summary:
- calculated volume (Å³ per cell) = 78
- spin magnetization (μB per formula unit) = 0.000

Cell lengths 4.668, 4.668, 3.594 Å; angles 90.00, 90.00, 90.00 degrees
Atoms (fractional coordinates):
Y (0.000, 0.500, 0.500)
Br (0.000, 0.000, 0.000)
Br (0.500, 0.500, 0.000)
Re (0.500, 0.000, 0.500)

***

Entry iii
## YReBr2 (PBE)

Data for a relaxed structure of YReBr2.

Summary:
- calculated volume (Å³ per cell) = 112
- spin magnetization (μB per formula unit) = 4.103

Cell lengths 3.361, 3.361, 9.932 Å; angles 90.00, 90.00, 90.00 degrees
Site moments in Bohr magnetons follow the coordinates.
Atoms (fractional coordinates):
Y (0.500, 0.500, 0.750)  0.01
Br (0.000, 0.000, 0.573)  0.02
Br (0.000, 0.000, 0.927)  0.02
Re (0.500, 0.500, 0.250)  3.28

***

Entry iv
## YReBr2 (PBE)

Data for a relaxed structure of YReBr2.

Summary:
- calculated volume (Å³ per cell) = 89
- spin magnetization (μB per formula unit) = 1.779

Cell lengths 3.282, 5.818, 4.664 Å; angles 90.00, 90.00, 90.00 degrees
Site moments in Bohr magnetons follow the coordinates.
Atoms (fractional coordinates):
Br (0.000, 0.000, 0.000)  0.03
Br (0.500, 0.500, 0.000)  0.02
Re (0.500, 0.000, 0.500)  1.58
Y (0.000, 0.500, 0.500)  -0.07

***

Which structure is most stable? entry i, by 411 meV per atom over the runner-up.

***

Entry i
## YReBr2 (PBE)

Data for a relaxed structure of YReBr2.

Summary:
- calculated volume (Å³ per cell) = 89
- spin magnetization (μB per formula unit) = 3.647

Cell lengths 5.010, 5.010, 5.010 Å; angles 60.00, 60.00, 60.00 degrees
Site moments in Bohr magnetons follow the coordinates.
Atoms (fractional coordinates):
Y (0.000, 0.000, 0.000)  0.03
Br (0.750, 0.750, 0.750)  0.13
Br (0.250, 0.250, 0.250)  0.13
Re (0.500, 0.500, 0.500)  2.70

***

Entry ii
## YReBr2 (PBE)

Data for a relaxed structure of YReBr2.

Summary:
- calculated volume (Å³ per cell) = 105
- spin magnetization (μB per formula unit) = 0.926

Cell lengths 9.840, 9.840, 9.840 Å; angles 20.82, 20.82, 20.82 degrees
Site moments in Bohr magnetons follow the coordinates.
Atoms (fractional coordinates):
Br (0.224, 0.224, 0.224)  0.12
Br (0.020, 0.020, 0.020)  0.01
Y (0.757, 0.757, 0.757)  0.02
Re (0.499, 0.499, 0.499)  0.68

***

Which structure is most stable? entry ii, by 567 meV per atom over the runner-up.

***

Entry i
## Zn2ReBr (PBE)

Data for a relaxed structure of Zn2ReBr.

Summary:
- calculated volume (Å³ per cell) = 70
- spin magnetization (μB per formula unit) = 0.000

Cell lengths 2.984, 2.984, 8.387 Å; angles 90.00, 90.00, 110.35 degrees
Atoms (fractional coordinates):
Br (0.500, 0.500, 0.250)
Zn (0.000, 0.000, 0.979)
Zn (0.000, 0.000, 0.521)
Re (0.500, 0.500, 0.750)

***

Entry ii
## Zn2ReBr (PBE)

Data for a relaxed structure of Zn2ReBr.

Summary:
- calculated volume (Å³ per cell) = 82
- spin magnetization (μB per formula unit) = 0.000

Cell lengths 6.954, 6.954, 6.954 Å; angles 155.99, 142.95, 44.64 degrees
Atoms (fractional coordinates):
Zn (0.092, 0.092, 0.000)
Zn (0.728, 0.228, 0.500)
Re (0.259, 0.759, 0.500)
Br (0.422, 0.422, 0.000)

***

Entry iii
## Zn2ReBr (PBE)

Data for a relaxed structure of Zn2ReBr.

Summary:
- calculated volume (Å³ per cell) = 70
- spin magnetization (μB per formula unit) = 0.001

Cell lengths 8.297, 8.297, 8.297 Å; angles 21.91, 21.91, 21.91 degrees
Atoms (fractional coordinates):
Re (0.750, 0.750, 0.750)
Br (0.250, 0.250, 0.250)
Zn (0.005, 0.005, 0.005)
Zn (0.495, 0.495, 0.495)

***

Entry iv
## Zn2ReBr (PBE)

Data for a relaxed structure of Zn2ReBr.

Summary:
- calculated volume (Å³ per cell) = 69
- spin magnetization (μB per formula unit) = 1.483

Cell lengths 2.962, 4.828, 4.828 Å; angles 90.00, 90.00, 90.00 degrees
Site moments in Bohr magnetons follow the coordinates.
Atoms (fractional coordinates):
Br (0.500, 0.500, 0.000)  0.10
Re (0.500, 0.000, 0.500)  1.17
Zn (0.000, 0.500, 0.500)  0.00
Zn (0.000, 0.000, 0.000)  0.00

***

Which structure is most stable? entry ii, by 21 meV per atom over the runner-up.

***

Entry i
## ZrRe2Br (PBE)

Data for a relaxed structure of ZrRe2Br.

Summary:
- calculated volume (Å³ per cell) = 75
- spin magnetization (μB per formula unit) = 0.000

Cell lengths 5.564, 5.564, 4.474 Å; angles 86.93, 86.93, 32.81 degrees
Atoms (fractional coordinates):
Zr (0.750, 0.750, 0.750)
Re (0.031, 0.031, 0.949)
Re (0.469, 0.469, 0.551)
Br (0.250, 0.250, 0.250)

***

Entry ii
## ZrRe2Br (PBE)

Data for a relaxed structure of ZrRe2Br.

Summary:
- calculated volume (Å³ per cell) = 70
- spin magnetization (μB per formula unit) = 0.000

Cell lengths 3.213, 3.213, 6.800 Å; angles 90.00, 90.00, 90.00 degrees
Atoms (fractional coordinates):
Br (0.500, 0.500, 0.750)
Re (0.000, 0.000, 0.502)
Re (0.000, 0.000, 0.998)
Zr (0.500, 0.500, 0.250)

***

Which structure is most stable? entry i, by 387 meV per atom over the runner-up.

***

Entry i
## ZrRe2Br (PBE)

Data for a relaxed structure of ZrRe2Br.

Summary:
- calculated volume (Å³ per cell) = 70
- spin magnetization (μB per formula unit) = 0.000

Cell lengths 4.689, 4.689, 4.689 Å; angles 122.20, 122.20, 86.24 degrees
Atoms (fractional coordinates):
Re (0.250, 0.750, 0.500)
Re (0.000, 0.000, 0.000)
Zr (0.500, 0.500, 0.000)
Br (0.750, 0.250, 0.500)

***

Entry ii
## ZrRe2Br (PBE)

Data for a relaxed structure of ZrRe2Br.

Summary:
- calculated volume (Å³ per cell) = 78
- spin magnetization (μB per formula unit) = 0.000

Cell lengths 4.985, 4.985, 5.225 Å; angles 72.68, 72.68, 38.99 degrees
Atoms (fractional coordinates):
Re (0.000, 0.000, 0.935)
Re (0.692, 0.692, 0.827)
Br (0.278, 0.278, 0.306)
Zr (0.530, 0.530, 0.432)

***

Entry iii
## ZrRe2Br (PBE)

Data for a relaxed structure of ZrRe2Br.

Summary:
- calculated volume (Å³ per cell) = 70
- spin magnetization (μB per formula unit) = 0.000

Cell lengths 5.499, 5.499, 5.499 Å; angles 146.78, 128.55, 62.63 degrees
Atoms (fractional coordinates):
Zr (0.489, 0.489, 0.000)
Re (0.778, 0.278, 0.500)
Re (0.997, 0.997, 0.000)
Br (0.237, 0.737, 0.500)

***

Entry iv
## ZrRe2Br (PBE)

Data for a relaxed structure of ZrRe2Br.

Summary:
- calculated volume (Å³ per cell) = 74
- spin magnetization (μB per formula unit) = 0.000

Cell lengths 5.442, 3.685, 3.685 Å; angles 90.00, 90.00, 90.00 degrees
Atoms (fractional coordinates):
Zr (0.500, 0.500, 0.000)
Re (0.000, 0.500, 0.500)
Re (0.000, 0.000, 0.000)
Br (0.500, 0.000, 0.500)

***

Which structure is most stable? entry ii, by 205 meV per atom over the runner-up.